SrCa2HoIn4: optimized geometry, PBE-GGA.

abc: 9.5205 9.5205 9.5205
angles: 33.44 33.44 33.44
Atoms (fractional coordinates):
Sr1 0.0000 0.0000 0.0000
Ca1 0.2500 0.2500 0.2500
Ca2 0.7500 0.7500 0.7500
Ho1 0.5000 0.5000 0.5000
In1 0.1275 0.1275 0.1275
In2 0.3804 0.3804 0.3804
In3 0.6196 0.6196 0.6196
In4 0.8725 0.8725 0.8725

Properties
Raw total energy (eV per cell): -24.7
Space-group type: R-3m, No. 166
DOS at the Fermi energy (states/eV/f.u.): 4.991
Energy of formation from the pure elements (eV per atom): -0.437
Volume (Å³ per atom): 29.17